Arrangement i

Material: Ga2TeO
Method: DFT, PBE
State: relaxed

As for the crystal system: tetragonal. Its density is 5.466 g/cm3.

The structure belongs to space group I-42d (No. 122); the cell edges are 5.399, 5.399 and 11.799 Å and the angles 90.00°, 90.00° and 90.00°. The inequivalent atoms are Ga at (0.134, 0.250, 0.125), Te at (0.000, 0.000, 0.500) and O at (0.000, 0.000, 0.000).

***

Arrangement ii

Material: Ga2TeO
Method: DFT, PBE
State: relaxed

As for the crystal system: cubic. Its density is 6.480 g/cm3.

The structure belongs to space group Fm-3m (No. 225); the cell edges are 6.620, 6.620 and 6.620 Å and the angles 90.00°, 90.00° and 90.00°. The inequivalent atoms are Ga at (0.250, 0.250, 0.250), Te at (0.000, 0.000, 0.000) and O at (0.000, 0.000, 0.500).

***

So which one is most stable? That would be arrangement i, about 0.551 eV/atom below the next structure.